1.
First-principles (PBE) data for crystalline TbH2Cl6 at its relaxed geometry, as listed in Alexandria via LeMat-Bulk.

E_tot ... -3.602 eV/atom
Size of the total moment ... 2.12 μB per cell
Volume ... 513.07 Å³/cell

abc: 7.2125 8.5093 8.5093
angles: 84.19 96.71 96.71
Last column: magnetic moment on the atom in μB.
Sites, in units of the cell vectors:
Cl  0.6454  0.3146  0.4457  0.17
Cl  0.1454  0.4457  0.3146  0.17
Cl  0.8844  0.8620  0.3907  0.20
Cl  0.0347  0.8150  0.9558  0.05
Cl  0.8546  0.5543  0.6854  0.17
Cl  0.1156  0.1380  0.6093  0.20
Cl  0.3844  0.3907  0.8620  0.20
Cl  0.5347  0.9558  0.8150  0.05
Cl  0.4653  0.0442  0.1850  0.05
Cl  0.6156  0.6093  0.1380  0.20
Cl  0.3546  0.6854  0.5543  0.17
Cl  0.9653  0.1850  0.0442  0.05
H  0.6341  0.4281  0.3283  0.00
H  0.8659  0.6717  0.5719  0.00
H  0.3659  0.5719  0.6717  0.00
H  0.1341  0.3283  0.4281  0.00
Tb  0.7500  0.9080  0.0920  0.00
Tb  0.2500  0.0920  0.9080  0.00

***

2.
First-principles (PBE) data for crystalline Tb2HCl3 at its relaxed geometry, as listed in Alexandria via LeMat-Bulk.

E_tot ... -4.676 eV/atom
Size of the total moment ... 1.90 μB per cell
Volume ... 286.70 Å³/cell

abc: 3.7658 8.4930 9.8346
angles: 70.47 78.96 77.19
Last column: magnetic moment on the atom in μB.
Sites, in units of the cell vectors:
H  0.4219  0.4895  0.6667  -0.01
H  0.5781  0.5105  0.3333  -0.01
Cl  0.6643  0.6818  0.9896  0.01
Cl  0.9603  0.8333  0.2461  0.00
Cl  0.7845  0.8145  0.6165  0.00
Cl  0.0397  0.1667  0.7539  0.00
Cl  0.2155  0.1855  0.3835  0.00
Cl  0.3357  0.3182  0.0104  0.01
Tb  0.8592  0.4801  0.8015  0.33
Tb  0.1408  0.5199  0.1985  0.33
Tb  0.5821  0.2947  0.5412  0.30
Tb  0.4179  0.7053  0.4588  0.30

***

3.
First-principles (PBE) data for crystalline TbH2Cl3 at its relaxed geometry, as listed in Alexandria via LeMat-Bulk.

E_tot ... -4.329 eV/atom
Size of the total moment ... 0.00 μB per cell
Volume ... 321.47 Å³/cell

abc: 5.3096 7.9805 7.5924
angles: 90.00 92.20 90.00
Sites, in units of the cell vectors:
Tb  0.0000  0.7500  0.0006
Tb  0.0000  0.2500  0.9994
H  0.5498  0.7500  0.4697
H  0.4502  0.2500  0.5303
H  0.4453  0.7500  0.5337
H  0.5547  0.2500  0.4663
Cl  0.0109  0.4995  0.2343
Cl  0.5001  0.7500  0.0008
Cl  0.4999  0.2500  0.9992
Cl  0.0109  0.0005  0.2344
Cl  0.9891  0.9995  0.7656
Cl  0.9891  0.5005  0.7657

***

4.
First-principles (PBE) data for crystalline Tb4HCl5 at its relaxed geometry, as listed in Alexandria via LeMat-Bulk.

E_tot ... -4.634 eV/atom
Size of the total moment ... 0.00 μB per cell
Volume ... 237.78 Å³/cell

abc: 3.6478 8.0006 8.5828
angles: 103.40 102.27 90.00
Sites, in units of the cell vectors:
Cl  0.8351  0.6532  0.6702
Cl  0.8230  0.1644  0.6459
Cl  0.5000  0.5000  0.0000
Cl  0.1771  0.8356  0.3541
Cl  0.1649  0.3468  0.3298
Tb  0.9979  0.2177  0.9957
Tb  0.3537  0.9182  0.7075
Tb  0.6463  0.0818  0.2925
Tb  0.0021  0.7823  0.0043
H  0.5000  0.0000  0.0000